# 1
A relaxed MnRe4Ir crystal, computed with PBE-GGA.

D(E_F)	3.87	states/eV per cell
VASP energy	-0.3993	Ha/atom
DFT formation energy	439	meV per atom
excess energy over the best structure of this formula in the dataset	291	meV/atom
space-group type	F-43m (216)

abc: 5.116 5.116 5.116
angles: 60.00 60.00 60.00
Last column: magnetic moment on the atom in μB.
Element x y z (fractional)
Mn1 0.000 0.000 0.000  3.08
Re1 0.876 0.375 0.375  -0.14
Re2 0.375 0.375 0.876  -0.14
Re3 0.375 0.876 0.375  -0.14
Re4 0.375 0.375 0.375  -0.14
Ir1 0.750 0.750 0.750  -0.13



# 2
A relaxed K2NdRhO4 crystal, computed with PBE-GGA.

VASP energy	-0.2203	Ha/atom
space-group type	P2/m (10)

abc: 3.470 5.676 6.581
angles: 108.35 90.00 90.00
Element x y z (fractional)
K1 0.500 0.000 0.500
K2 0.000 0.500 0.500
Nd1 0.500 0.500 0.000
Rh1 0.000 0.000 0.000
O1 0.500 0.196 0.181
O2 0.500 0.804 0.819
O3 0.000 0.247 0.802
O4 0.000 0.753 0.198



# 3
A relaxed Pm2Pr6Nd3Mg crystal, computed with PBE-GGA.

D(E_F)	15.26	states/eV per cell
VASP energy	-0.1650	Ha/atom
DFT formation energy	16	meV per atom
space-group type	C2/m (12)

abc: 6.352 6.352 12.086
angles: 95.05 95.05 120.06
Element x y z (fractional)
Pm1 0.333 0.667 0.000
Pm2 0.667 0.333 0.000
Pr1 0.919 0.588 0.753
Pr2 0.751 0.751 0.248
Pr3 0.081 0.412 0.247
Pr4 0.588 0.919 0.753
Pr5 0.249 0.249 0.752
Pr6 0.412 0.081 0.247
Nd1 0.167 0.833 0.500
Nd2 0.833 0.167 0.500
Nd3 0.500 0.500 0.500
Mg1 0.000 0.000 0.000



# 4
A relaxed AcLa2AlO6 crystal, computed with PBE-GGA.

D(E_F)	0.00	states/eV per cell
VASP energy	-0.2884	Ha/atom
space-group type	P4mm (99)

abc: 5.578 5.487 5.487
angles: 90.00 90.00 90.00
Element x y z (fractional)
Ac1 0.532 0.500 0.500
La1 0.984 0.500 0.000
La2 0.984 0.000 0.500
Al1 0.611 0.000 0.000
O1 0.736 0.228 0.228
O2 0.736 0.228 0.772
O3 0.104 0.500 0.500
O4 0.286 0.000 0.000
O5 0.736 0.772 0.772
O6 0.736 0.772 0.228



# 5
A relaxed CdHS2 crystal, computed with PBE-GGA.

D(E_F)	1.94	states/eV per cell
VASP energy	-0.1162	Ha/atom
excess energy over the best structure of this formula in the dataset	0	meV/atom
space-group type	R-3m (166)

abc: 6.289 6.289 6.289
angles: 37.36 37.36 37.36
Last column: magnetic moment on the atom in μB.
Element x y z (fractional)
H1 0.000 0.000 0.000  0.00
S1 0.908 0.908 0.908  0.33
S2 0.092 0.092 0.092  0.33
Cd1 0.500 0.500 0.500  0.03



# 6
A relaxed ErIn3Pd crystal, computed with PBE-GGA.

D(E_F)	5.73	states/eV per cell
VASP energy	-0.1462	Ha/atom
DFT formation energy	-385	meV per atom
space-group type	Pmmn (59)

abc: 4.530 7.312 7.159
angles: 90.00 90.00 90.00
Element x y z (fractional)
Er1 0.750 0.250 0.265
Er2 0.250 0.750 0.735
In1 0.750 0.750 0.054
In2 0.250 0.250 0.946
In3 0.750 0.045 0.691
In4 0.750 0.455 0.691
In5 0.250 0.955 0.309
In6 0.250 0.545 0.309
Pd1 0.750 0.750 0.437
Pd2 0.250 0.250 0.563



# 7
A relaxed Cu2RuPb2 crystal, computed with PBE-GGA.

D(E_F)	2.97	states/eV per cell
VASP energy	-0.1690	Ha/atom
DFT formation energy	379	meV per atom
space-group type	I4/mmm (139)

abc: 8.616 8.616 8.616
angles: 157.36 157.36 32.23
Element x y z (fractional)
Cu1 0.250 0.750 0.500
Cu2 0.750 0.250 0.500
Ru1 0.000 0.000 0.000
Pb1 0.603 0.603 0.000
Pb2 0.397 0.397 0.000



# 8
A relaxed NdSm4Th3Se8 crystal, computed with PBE-GGA.

D(E_F)	8.11	states/eV per cell
VASP energy	-0.2324	Ha/atom
space-group type	R-3m (166)

abc: 8.304 8.456 8.303
angles: 119.40 120.00 90.00
Element x y z (fractional)
Nd1 0.000 0.500 0.000
Sm1 0.500 0.000 0.000
Sm2 0.500 0.000 0.500
Sm3 0.000 0.000 0.000
Sm4 0.000 0.000 0.500
Th1 0.500 0.500 0.000
Th2 0.500 0.500 0.500
Th3 0.000 0.500 0.500
Se1 0.251 0.755 0.003
Se2 0.252 0.756 0.504
Se3 0.248 0.244 0.496
Se4 0.752 0.755 0.003
Se5 0.248 0.245 0.997
Se6 0.752 0.756 0.504
Se7 0.748 0.244 0.496
Se8 0.749 0.245 0.997



Question: Among the records above, which one has the highest VASP energy?
Answer: CdHS2



Question: Which of these has the lowest VASP energy?
Answer: MnRe4Ir